A relaxed structure of Ba2PdRh2, computed with PBE.

## Properties
Total magnetization (μB per atom): 0.000
Density of states at the Fermi level (states/eV per cell): 7.31
Energy (eV per atom): -4.83
ΔE_f (eV/atom): -0.08
Crystal system: tetragonal

```
Ba2PdRh2
1.0
-3.7314 -5.6756 2.5034
5.7153 -2.0099 3.9622
-1.5927 2.6543 3.6438
Pd Rh Ba
2 4 4
Direct
0.5000 0.5000 0.0000 Pd
0.0000 0.0000 0.0000 Pd
0.6255 0.1255 0.0000 Rh
0.8745 0.6255 0.0000 Rh
0.3745 0.8745 0.0000 Rh
0.1255 0.3745 0.0000 Rh
0.3152 0.1848 0.5000 Ba
0.8152 0.3152 0.5000 Ba
0.1848 0.6848 0.5000 Ba
0.6848 0.8152 0.5000 Ba
```